[1]
Computed, not measured: Nd3NpSe6 after structural relaxation at the GGA-PBE level of DFT.

* raw formation energy: -1.64 eV/atom
* energy relative to the lowest polymorph listed for this composition: 0 meV per atom
* N(E_F): 18.603 states/eV per cell
* SG: R-3 (148)

Cell lengths 8.6400, 8.6400, 8.6400 Å; angles 91.33, 91.33, 91.33 degrees
With the nearest neighbours (Å) after each atom.
Fractional positions:
Nd1 0.4301 0.9208 0.7531  6 Se 2.94-3.03
Nd2 0.9208 0.7531 0.4301  6 Se 2.94-3.03
Nd3 0.2469 0.5699 0.0792  6 Se 2.94-3.03
Nd4 0.7531 0.4301 0.9208  6 Se 2.94-3.03
Nd5 0.0792 0.2469 0.5699  6 Se 2.94-3.03
Nd6 0.5699 0.0792 0.2469  6 Se 2.94-3.03
Np1 0.0000 0.0000 0.0000  6 Se 2.91
Np2 0.5000 0.5000 0.5000  6 Se 2.85
Se1 0.3141 0.9107 0.0810  1 Np 2.91, 3 Nd 2.94-3.03
Se2 0.0893 0.9190 0.6859  1 Np 2.91, 3 Nd 2.94-3.03
Se3 0.5891 0.8164 0.4606  1 Np 2.85, 3 Nd 2.95-3.03
Se4 0.9190 0.6859 0.0893  1 Np 2.91, 3 Nd 2.94-3.03
Se5 0.4606 0.5891 0.8164  1 Np 2.85, 3 Nd 2.95-3.03
Se6 0.1836 0.5394 0.4109  1 Np 2.85, 3 Nd 2.95-3.03
Se7 0.8164 0.4606 0.5891  1 Np 2.85, 3 Nd 2.95-3.03
Se8 0.5394 0.4109 0.1836  1 Np 2.85, 3 Nd 2.95-3.03
Se9 0.0810 0.3141 0.9107  1 Np 2.91, 3 Nd 2.94-3.03
Se10 0.4109 0.1836 0.5394  1 Np 2.85, 3 Nd 2.95-3.03
Se11 0.9107 0.0810 0.3141  1 Np 2.91, 3 Nd 2.94-3.03
Se12 0.6859 0.0893 0.9190  1 Np 2.91, 3 Nd 2.94-3.03

---

[2]
Computed, not measured: GaFeCuRh after structural relaxation at the GGA-PBE level of DFT.

* N(E_F): 2.286 states/eV per cell
* SG: F-43m (216)
* ΔE_f: -0.18 eV/atom

Cell lengths 4.2215, 4.2215, 4.2215 Å; angles 60.00, 60.00, 60.00 degrees
With the nearest neighbours (Å) after each atom.
Fractional positions:
Rh1 0.7500 0.7500 0.7500  4 Ga 2.59, 4 Fe 2.59
Cu1 0.2500 0.2500 0.2500  4 Fe 2.59, 4 Ga 2.59
Ga1 0.5000 0.5000 0.5000  4 Cu 2.59, 4 Rh 2.59
Fe1 0.0000 0.0000 0.0000  4 Rh 2.59, 4 Cu 2.59